Entry 1:
Material: Co2TcCl
Method: DFT, PBE
State: relaxed

a = 5.669 Å, b = 5.669 Å, c = 8.278 Å
α = 90.00°, β = 90.00°, γ = 90.00°
Atoms (fractional coordinates):
1 Co 0.249 0.250 0.125
2 Co 0.250 0.749 0.375
3 Co 0.250 0.751 0.875
4 Co 0.251 0.250 0.625
5 Co 0.749 0.750 0.625
6 Co 0.750 0.249 0.875
7 Co 0.750 0.251 0.375
8 Co 0.751 0.750 0.125
9 Tc 0.000 0.000 0.000
10 Tc 0.000 0.500 0.250
11 Tc 0.500 0.000 0.750
12 Tc 0.500 0.500 0.500
13 Cl 0.000 0.000 0.500
14 Cl 0.000 0.500 0.750
15 Cl 0.500 0.000 0.250
16 Cl 0.500 0.500 0.000

Polymorph energy (0 for the lowest one) in kJ/mol of formula units: 198
Uncorrected formation energy in eV per atom: 0.8072
Uncorrected energy in eV per atom: -5.799
SG: I-42d



Entry 2:
Material: DyPd2Au3
Method: DFT, PBE
State: relaxed

a = 5.699 Å, b = 5.699 Å, c = 7.444 Å
α = 98.71°, β = 98.71°, γ = 102.57°
Atoms (fractional coordinates):
1 Dy 0.074 0.926 0.750
2 Dy 0.926 0.074 0.250
3 Pd 0.094 0.659 0.381
4 Pd 0.341 0.906 0.119
5 Pd 0.659 0.094 0.881
6 Pd 0.906 0.341 0.619
7 Au 0.182 0.378 0.020
8 Au 0.378 0.182 0.520
9 Au 0.395 0.605 0.750
10 Au 0.605 0.395 0.250
11 Au 0.622 0.818 0.480
12 Au 0.818 0.622 0.980

E_form in eV per atom: -0.467
Uncorrected energy in eV per atom: -4.604
SG: C2/c



Entry 3:
Material: NaMgC2O6
Method: DFT, PBE
State: relaxed

a = 6.224 Å, b = 6.224 Å, c = 6.224 Å
α = 46.01°, β = 46.01°, γ = 46.01°
Atoms (fractional coordinates):
1 Na 0.000 0.000 0.000
2 Mg 0.500 0.500 0.500
3 C 0.241 0.241 0.241
4 C 0.759 0.759 0.759
5 O 0.039 0.513 0.724
6 O 0.276 0.961 0.487
7 O 0.487 0.276 0.961
8 O 0.513 0.724 0.039
9 O 0.724 0.039 0.513
10 O 0.961 0.487 0.276

Uncorrected formation energy in eV per atom: -1.6934
Uncorrected energy in eV per atom: -6.804
SG: R-3



Entry 4:
Material: Rb2CeInO4
Method: DFT, PBE
State: relaxed

a = 6.157 Å, b = 3.580 Å, c = 6.936 Å
α = 90.00°, β = 108.30°, γ = 90.00°
Atoms (fractional coordinates):
1 Rb 0.000 0.000 0.000
2 Rb 0.500 0.500 0.000
3 Ce 0.000 0.500 0.500
4 In 0.500 0.000 0.500
5 O 0.217 0.000 0.682
6 O 0.281 0.500 0.326
7 O 0.719 0.500 0.674
8 O 0.783 0.000 0.318

Uncorrected formation energy in eV per atom: -1.9896
Uncorrected energy in eV per atom: -5.795
SG: P2/m



Entry 5:
Material: Rb2ReSiI
Method: DFT, PBE
State: relaxed

a = 6.909 Å, b = 6.909 Å, c = 5.005 Å
α = 90.00°, β = 90.00°, γ = 90.00°
Atoms (fractional coordinates):
1 Rb 0.000 0.500 0.000
2 Rb 0.500 0.000 0.000
3 Re 0.000 0.000 0.000
4 Si 0.500 0.500 0.500
5 I 0.000 0.000 0.500

Uncorrected formation energy in eV per atom: 1.3164
Uncorrected energy in eV per atom: -2.955
SG: P4/mmm



Entry 6:
Material: AcB4Os4
Method: DFT, PBE
State: relaxed

a = 7.759 Å, b = 7.759 Å, c = 4.002 Å
α = 90.00°, β = 90.00°, γ = 90.00°
Atoms (fractional coordinates):
1 Ac 0.250 0.250 0.250
2 Ac 0.750 0.750 0.750
3 B 0.031 0.585 0.143
4 B 0.085 0.969 0.643
5 B 0.415 0.531 0.643
6 B 0.469 0.915 0.143
7 B 0.531 0.085 0.857
8 B 0.585 0.469 0.357
9 B 0.915 0.031 0.357
10 B 0.969 0.415 0.857
11 Os 0.105 0.855 0.143
12 Os 0.145 0.605 0.643
13 Os 0.355 0.895 0.643
14 Os 0.395 0.645 0.143
15 Os 0.605 0.355 0.857
16 Os 0.645 0.105 0.357
17 Os 0.855 0.395 0.357
18 Os 0.895 0.145 0.857

E_form in eV per atom: -0.335
Uncorrected energy in eV per atom: -8.750
SG: P4_2/n



Entry 7:
Material: RbCd2C2O6
Method: DFT, PBE
State: relaxed

a = 5.317 Å, b = 5.603 Å, c = 7.173 Å
α = 110.35°, β = 98.50°, γ = 104.46°
Atoms (fractional coordinates):
1 Rb 0.000 0.000 0.000
2 Cd 0.250 0.793 0.470
3 Cd 0.750 0.207 0.530
4 C 0.319 0.441 0.717
5 C 0.681 0.559 0.283
6 O 0.174 0.201 0.695
7 O 0.187 0.608 0.708
8 O 0.426 0.491 0.260
9 O 0.574 0.509 0.740
10 O 0.813 0.392 0.292
11 O 0.826 0.799 0.305

Uncorrected formation energy in eV per atom: -1.3099
Uncorrected energy in eV per atom: -5.946
SG: P-1



Entry 8:
Material: Tb2Ho3Sc8
Method: DFT, PBE
State: relaxed

a = 8.115 Å, b = 8.115 Å, c = 6.579 Å
α = 105.76°, β = 105.76°, γ = 64.66°
Atoms (fractional coordinates):
1 Tb 0.232 0.232 0.424
2 Tb 0.768 0.768 0.576
3 Ho 0.000 0.000 0.000
4 Ho 0.181 0.819 0.500
5 Ho 0.819 0.181 0.500
6 Sc 0.195 0.195 0.896
7 Sc 0.198 0.563 0.842
8 Sc 0.431 0.431 0.257
9 Sc 0.437 0.802 0.158
10 Sc 0.563 0.198 0.842
11 Sc 0.569 0.569 0.743
12 Sc 0.802 0.437 0.158
13 Sc 0.805 0.805 0.104

E_form in eV per atom: 0.250
Uncorrected energy in eV per atom: -5.415
SG: C2/m



Entry 9:
Material: LaTa2TcRu
Method: DFT, PBE
State: relaxed

a = 4.789 Å, b = 4.789 Å, c = 5.216 Å
α = 90.00°, β = 90.00°, γ = 90.00°
Atoms (fractional coordinates):
1 La 0.000 0.000 0.000
2 Ta 0.000 0.500 0.500
3 Ta 0.500 0.000 0.500
4 Tc 0.500 0.500 0.000
5 Ru 0.000 0.000 0.500

E_form in eV per atom: 1.271
Uncorrected energy in eV per atom: -8.384
SG: P4/mmm



Entry 10:
Material: La6TbCePm2
Method: DFT, PBE
State: relaxed

a = 6.765 Å, b = 6.765 Å, c = 9.131 Å
α = 103.94°, β = 103.94°, γ = 63.21°
Atoms (fractional coordinates):
1 La 0.080 0.547 0.201
2 La 0.124 0.124 0.414
3 La 0.453 0.920 0.799
4 La 0.547 0.080 0.201
5 La 0.876 0.876 0.586
6 La 0.920 0.453 0.799
7 Tb 0.500 0.500 0.500
8 Ce 0.000 0.000 0.000
9 Pm 0.416 0.416 0.830
10 Pm 0.584 0.584 0.170

E_form in eV per atom: 0.205
Uncorrected energy in eV per atom: -4.758
SG: C2/m



Entry 11:
Material: Pr4OsCl2O
Method: DFT, PBE
State: relaxed

a = 6.850 Å, b = 3.896 Å, c = 7.902 Å
α = 90.00°, β = 108.18°, γ = 90.00°
Atoms (fractional coordinates):
1 Pr 0.214 0.000 0.192
2 Pr 0.243 0.500 0.796
3 Pr 0.757 0.500 0.204
4 Pr 0.786 0.000 0.808
5 Os 0.500 0.000 0.000
6 Cl 0.000 0.000 0.500
7 Cl 0.500 0.500 0.500
8 O 0.000 0.500 0.000

Uncorrected formation energy in eV per atom: -1.3656
Uncorrected energy in eV per atom: -6.241
SG: P2/m



Entry 12:
Material: Ti2IrRh9
Method: DFT, PBE
State: relaxed

a = 3.847 Å, b = 3.847 Å, c = 11.609 Å
α = 90.00°, β = 90.00°, γ = 90.00°
Atoms (fractional coordinates):
1 Ti 0.000 0.000 0.161
2 Ti 0.000 0.000 0.839
3 Ir 0.000 0.000 0.500
4 Rh 0.000 0.500 0.000
5 Rh 0.000 0.500 0.335
6 Rh 0.000 0.500 0.665
7 Rh 0.500 0.000 0.000
8 Rh 0.500 0.000 0.335
9 Rh 0.500 0.000 0.665
10 Rh 0.500 0.500 0.168
11 Rh 0.500 0.500 0.500
12 Rh 0.500 0.500 0.832

E_form in eV per atom: -0.415
Uncorrected energy in eV per atom: -7.983
SG: P4/mmm



Entry 13:
Material: Ti2TcIr2
Method: DFT, PBE
State: relaxed

a = 3.645 Å, b = 3.645 Å, c = 12.733 Å
α = 90.00°, β = 90.00°, γ = 90.00°
Atoms (fractional coordinates):
1 Ti 0.000 0.000 0.106
2 Ti 0.000 0.000 0.894
3 Ti 0.500 0.500 0.394
4 Ti 0.500 0.500 0.606
5 Tc 0.000 0.000 0.500
6 Tc 0.500 0.500 0.000
7 Ir 0.000 0.500 0.250
8 Ir 0.000 0.500 0.750
9 Ir 0.500 0.000 0.250
10 Ir 0.500 0.000 0.750

Polymorph energy (0 for the lowest one) in kJ/mol of formula units: 231
E_form in eV per atom: 0.065
Uncorrected energy in eV per atom: -8.711
SG: I4/mmm



Entry 14:
Material: LaNi2Mo
Method: DFT, PBE
State: relaxed

a = 4.689 Å, b = 4.689 Å, c = 15.965 Å
α = 90.00°, β = 90.00°, γ = 90.00°
Atoms (fractional coordinates):
1 La 0.000 0.000 0.000
2 La 0.000 0.500 0.250
3 La 0.500 0.000 0.750
4 La 0.500 0.500 0.500
5 Ni 0.049 0.250 0.625
6 Ni 0.250 0.549 0.875
7 Ni 0.250 0.951 0.375
8 Ni 0.451 0.250 0.125
9 Ni 0.549 0.750 0.125
10 Ni 0.750 0.049 0.375
11 Ni 0.750 0.451 0.875
12 Ni 0.951 0.750 0.625
13 Mo 0.000 0.000 0.500
14 Mo 0.000 0.500 0.750
15 Mo 0.500 0.000 0.250
16 Mo 0.500 0.500 0.000

Polymorph energy (0 for the lowest one) in kJ/mol of formula units: 205
E_form in eV per atom: 0.471
Uncorrected energy in eV per atom: -6.359
SG: I-42d



Entry 15:
Material: KCd2CuPt
Method: DFT, PBE
State: relaxed

a = 5.281 Å, b = 5.281 Å, c = 4.962 Å
α = 90.00°, β = 90.00°, γ = 90.00°
Atoms (fractional coordinates):
1 K 0.000 0.000 0.000
2 Cd 0.000 0.500 0.500
3 Cd 0.500 0.000 0.500
4 Cu 0.500 0.500 0.000
5 Pt 0.500 0.500 0.500

E_form in eV per atom: -0.046
Uncorrected energy in eV per atom: -2.659
SG: P4/mmm



Entry 16:
Material: Sm2SiPb
Method: DFT, PBE
State: relaxed

a = 4.141 Å, b = 4.141 Å, c = 24.125 Å
α = 90.00°, β = 90.00°, γ = 120.00°
Atoms (fractional coordinates):
1 Sm 0.000 0.000 0.235
2 Sm 0.000 0.000 0.765
3 Sm 0.333 0.667 0.431
4 Sm 0.333 0.667 0.902
5 Sm 0.667 0.333 0.098
6 Sm 0.667 0.333 0.569
7 Si 0.000 0.000 0.500
8 Si 0.333 0.667 0.167
9 Si 0.667 0.333 0.833
10 Pb 0.000 0.000 0.000
11 Pb 0.333 0.667 0.667
12 Pb 0.667 0.333 0.333

Polymorph energy (0 for the lowest one) in kJ/mol of formula units: 3
Uncorrected formation energy in eV per atom: -0.4863
Uncorrected energy in eV per atom: -5.129
SG: R-3m



Entry 17:
Material: K3MgZr
Method: DFT, PBE
State: relaxed

a = 6.656 Å, b = 6.656 Å, c = 6.656 Å
α = 90.00°, β = 90.00°, γ = 90.00°
Atoms (fractional coordinates):
1 K 0.000 0.000 0.500
2 K 0.000 0.500 0.000
3 K 0.500 0.000 0.000
4 Mg 0.000 0.000 0.000
5 Zr 0.500 0.500 0.500

Polymorph energy (0 for the lowest one) in kJ/mol of formula units: 0
E_form in eV per atom: 1.158
Uncorrected energy in eV per atom: -1.529
SG: Pm-3m



Entry 18:
Material: LiNd2Hg2
Method: DFT, PBE
State: relaxed

a = 4.350 Å, b = 6.830 Å, c = 9.072 Å
α = 90.00°, β = 90.00°, γ = 90.00°
Atoms (fractional coordinates):
1 Li 0.000 0.000 0.000
2 Li 0.500 0.500 0.500
3 Nd 0.000 0.500 0.203
4 Nd 0.000 0.500 0.797
5 Nd 0.500 0.000 0.297
6 Nd 0.500 0.000 0.703
7 Hg 0.000 0.240 0.500
8 Hg 0.000 0.760 0.500
9 Hg 0.500 0.260 0.000
10 Hg 0.500 0.740 0.000

Polymorph energy (0 for the lowest one) in kJ/mol of formula units: 0
E_form in eV per atom: -0.339
Uncorrected energy in eV per atom: -2.750
SG: Immm



Entry 19:
Material: SrBTe2
Method: DFT, PBE
State: relaxed

a = 3.730 Å, b = 3.730 Å, c = 28.168 Å
α = 90.00°, β = 90.00°, γ = 120.00°
Atoms (fractional coordinates):
1 Sr 0.000 0.000 0.000
2 Sr 0.333 0.667 0.667
3 Sr 0.667 0.333 0.333
4 B 0.000 0.000 0.500
5 B 0.333 0.667 0.167
6 B 0.667 0.333 0.833
7 Te 0.000 0.000 0.116
8 Te 0.000 0.000 0.884
9 Te 0.333 0.667 0.550
10 Te 0.333 0.667 0.783
11 Te 0.667 0.333 0.217
12 Te 0.667 0.333 0.450

Uncorrected formation energy in eV per atom: 0.4851
Uncorrected energy in eV per atom: -3.176
SG: R-3m



Entry 20:
Material: RuPt2
Method: DFT, PBE
State: relaxed

a = 10.294 Å, b = 2.758 Å, c = 6.667 Å
α = 90.00°, β = 106.29°, γ = 90.00°
Atoms (fractional coordinates):
1 Ru 0.202 0.000 0.132
2 Ru 0.298 0.500 0.868
3 Ru 0.702 0.500 0.132
4 Ru 0.798 0.000 0.868
5 Pt 0.023 0.500 0.811
6 Pt 0.142 0.000 0.536
7 Pt 0.358 0.500 0.464
8 Pt 0.477 0.000 0.189
9 Pt 0.523 0.000 0.811
10 Pt 0.642 0.500 0.536
11 Pt 0.858 0.000 0.464
12 Pt 0.977 0.500 0.189

E_form in eV per atom: 0.047
Uncorrected energy in eV per atom: -7.072
SG: C2/m



Entry 21:
Material: SmMg2Tl
Method: DFT, PBE
State: relaxed

a = 4.593 Å, b = 4.593 Å, c = 4.890 Å
α = 90.00°, β = 90.00°, γ = 90.00°
Atoms (fractional coordinates):
1 Sm 0.000 0.000 0.000
2 Mg 0.000 0.500 0.500
3 Mg 0.500 0.000 0.500
4 Tl 0.500 0.500 0.000

Polymorph energy (0 for the lowest one) in kJ/mol of formula units: 0
E_form in eV per atom: -0.231
Uncorrected energy in eV per atom: -2.799
SG: P4/mmm



Entry 22:
Material: Rb3AgTe2
Method: DFT, PBE
State: relaxed

a = 8.877 Å, b = 12.356 Å, c = 11.487 Å
α = 90.00°, β = 110.17°, γ = 90.00°
Atoms (fractional coordinates):
1 Rb 0.209 0.017 0.389
2 Rb 0.209 0.483 0.889
3 Rb 0.241 0.064 0.975
4 Rb 0.241 0.436 0.475
5 Rb 0.284 0.729 0.186
6 Rb 0.284 0.771 0.686
7 Rb 0.716 0.229 0.314
8 Rb 0.716 0.271 0.814
9 Rb 0.759 0.564 0.525
10 Rb 0.759 0.936 0.025
11 Rb 0.791 0.517 0.111
12 Rb 0.791 0.983 0.611
13 Ag 0.223 0.174 0.676
14 Ag 0.223 0.326 0.176
15 Ag 0.777 0.674 0.824
16 Ag 0.777 0.826 0.324
17 Te 0.029 0.699 0.372
18 Te 0.029 0.801 0.872
19 Te 0.462 0.035 0.730
20 Te 0.462 0.465 0.230
21 Te 0.538 0.535 0.770
22 Te 0.538 0.965 0.270
23 Te 0.971 0.199 0.128
24 Te 0.971 0.301 0.628

Polymorph energy (0 for the lowest one) in kJ/mol of formula units: 0
Uncorrected formation energy in eV per atom: -0.8159
Uncorrected energy in eV per atom: -2.822
SG: P2_1/c



Entry 23:
Material: Cd2CoBr6
Method: DFT, PBE
State: relaxed

a = 10.537 Å, b = 10.537 Å, c = 7.023 Å
α = 108.00°, β = 108.00°, γ = 90.18°
Atoms (fractional coordinates):
1 Cd 0.148 0.313 0.419
2 Cd 0.313 0.148 0.919
3 Cd 0.687 0.852 0.081
4 Cd 0.852 0.687 0.581
5 Co 0.279 0.721 0.750
6 Co 0.721 0.279 0.250
7 Br 0.091 0.706 0.868
8 Br 0.120 0.288 0.765
9 Br 0.277 0.537 0.443
10 Br 0.288 0.120 0.265
11 Br 0.294 0.909 0.632
12 Br 0.463 0.723 0.057
13 Br 0.537 0.277 0.943
14 Br 0.706 0.091 0.368
15 Br 0.712 0.880 0.735
16 Br 0.723 0.463 0.557
17 Br 0.880 0.712 0.235
18 Br 0.909 0.294 0.132

Uncorrected formation energy in eV per atom: -0.6443
Uncorrected energy in eV per atom: -2.752
SG: C2/c



Entry 24:
Material: Mg3Co
Method: DFT, PBE
State: relaxed

a = 3.184 Å, b = 4.647 Å, c = 9.548 Å
α = 90.00°, β = 90.00°, γ = 90.00°
Atoms (fractional coordinates):
1 Mg 0.000 0.000 0.000
2 Mg 0.000 0.500 0.213
3 Mg 0.000 0.500 0.787
4 Mg 0.500 0.000 0.287
5 Mg 0.500 0.000 0.713
6 Mg 0.500 0.500 0.500
7 Co 0.000 0.000 0.500
8 Co 0.500 0.500 0.000

E_form in eV per atom: 0.104
Uncorrected energy in eV per atom: -2.868
SG: Immm